A relaxed structure of BaSn2PdSe, computed with PBEsol.

a = 5.0761 Å, b = 5.0761 Å, c = 5.5552 Å
α = 90.00°, β = 90.00°, γ = 90.00°
Space group P4/mmm (No. 123)
Inequivalent atoms, fractional coordinates:
1 Ba 0.0000 0.0000 0.0000 (multiplicity 1)
2 Sn 0.0000 0.5000 0.5000 (multiplicity 2)
3 Pd 0.5000 0.5000 0.5000 (multiplicity 1)
4 Se 0.5000 0.5000 0.0000 (multiplicity 1)

V   28.63 Å³/atom
E_form (uncorrected)   -0.451 eV per atom